[1]
# ZrCd2Si

A relaxed ZrCd2Si crystal (PBE, Alexandria).

- space-group type = I-42d (122)
- final energy (eV per cell) = -30.9
- energy relative to the elements, uncorrected (kJ/mol of formula units) = 36

a b c (Å): 7.925 7.925 6.237
angles (deg): 50.56 50.56 90.00
Positions (direct):
Si (0.500, 0.500, 0.000)
Si (0.250, 0.750, 0.500)
Zr (0.000, 0.000, 0.000)
Zr (0.750, 0.250, 0.500)
Cd (0.583, 0.125, 0.250)
Cd (0.167, 0.625, 0.250)
Cd (0.375, 0.417, 0.750)
Cd (0.875, 0.833, 0.750)

[2]
# Ni4Rh3

A relaxed Ni4Rh3 crystal (PBE, Alexandria).

- space-group type = P-1 (2)
- relative energy among the computed polymorphs (eV per atom) = 0.000
- final energy (eV per cell) = -44.9
- E_form (meV/atom) = 42

a b c (Å): 4.492 6.895 4.492
angles (deg): 122.32 131.72 71.61
Site moments in Bohr magnetons follow the coordinates.
Positions (direct):
Ni (0.855, 0.573, 0.718)  0.71
Ni (0.145, 0.427, 0.282)  0.71
Ni (0.715, 0.147, 0.432)  0.64
Ni (0.285, 0.853, 0.568)  0.64
Rh (0.000, 0.000, 0.000)  0.47
Rh (0.574, 0.711, 0.136)  0.53
Rh (0.426, 0.289, 0.864)  0.53

Respective size of the total moment values: 0.0; 4.1 μB per formula unit.